A plane-wave DFT calculation with PBE was carried out for crystalline Cs2BPI6 at its relaxed geometry.

Cell lengths 9.016, 9.016, 8.232 Å; angles 56.80, 56.80, 90.00 degrees
Element x y z (fractional)
Cs1 0.750 0.250 0.500
Cs2 0.250 0.750 0.500
I1 0.296 0.296 0.408
I2 0.704 0.704 0.592
I3 0.221 0.221 0.000
I4 0.779 0.779 0.000
I5 0.779 0.221 0.000
I6 0.221 0.779 0.000
B1 0.500 0.500 0.000
P1 0.000 0.000 0.000

Output
**Spin magnetization**: 0.0 μB per formula unit
**Space group**: I4/mmm
**Energy relative to the elements, uncorrected**: -346 meV per atom
**E**: -2.66 eV per atom